## Dy3Tm5Se8 (PBE)

Data for a relaxed Dy3Tm5Se8 crystal.

Summary:
**Raw formation energy**: -27.006 eV/f.u.
**Calculated volume**: 23.3 A^3/atom
**DFT total energy**: -5.6904 eV/atom
**SG**: No. 166

```
Dy3Tm5Se8
1.0
4.0389 2.3319 6.5966
-4.0389 2.3319 6.5966
0.0000 -4.6637 6.5966
Dy Tm Se
3 5 8
Direct
0.0000 0.5000 0.5000 Dy
0.5000 0.0000 0.5000 Dy
0.5000 0.5000 0.0000 Dy
0.0000 0.0000 0.0000 Tm
0.0000 0.0000 0.5000 Tm
0.0000 0.5000 0.0000 Tm
0.5000 0.0000 0.0000 Tm
0.5000 0.5000 0.5000 Tm
0.2460 0.7500 0.7500 Se
0.2479 0.2479 0.2479 Se
0.2500 0.2500 0.7540 Se
0.2500 0.7540 0.2500 Se
0.7500 0.2460 0.7500 Se
0.7500 0.7500 0.2460 Se
0.7521 0.7521 0.7521 Se
0.7540 0.2500 0.2500 Se
```

=====

## Dy4Tm2Se9 (PBE)

Data for a relaxed Dy4Tm2Se9 crystal.

Summary:
**Raw formation energy**: -27.818 eV/f.u.
**Calculated volume**: 28.8 A^3/atom
**DFT total energy**: -5.7687 eV/atom
**SG**: No. 2

```
Dy4Tm2Se9
1.0
7.1645 0.0000 0.0000
3.5800 6.2084 0.0000
0.0089 -0.0027 19.4024
Dy Tm Se
8 4 18
Direct
0.1657 0.1669 0.1809 Dy
0.1661 0.1667 0.9852 Dy
0.1671 0.1665 0.4847 Dy
0.1677 0.1663 0.6811 Dy
0.8323 0.8337 0.3189 Dy
0.8329 0.8335 0.5153 Dy
0.8339 0.8333 0.0148 Dy
0.8343 0.8331 0.8191 Dy
0.4989 0.5015 0.1533 Tm
0.4997 0.4989 0.3469 Tm
0.5003 0.5011 0.6531 Tm
0.5011 0.4985 0.8467 Tm
0.1417 0.5296 0.4167 Se
0.1438 0.8280 0.9165 Se
0.1708 0.4720 0.0834 Se
0.1715 0.8581 0.5833 Se
0.1971 0.8033 0.2503 Se
0.1977 0.5003 0.7499 Se
0.4706 0.1730 0.5831 Se
0.4710 0.8578 0.0831 Se
0.4988 0.1976 0.2499 Se
0.5012 0.8024 0.7501 Se
0.5290 0.1422 0.9169 Se
0.5294 0.8270 0.4169 Se
0.8023 0.4997 0.2501 Se
0.8029 0.1967 0.7497 Se
0.8285 0.1419 0.4167 Se
0.8292 0.5280 0.9166 Se
0.8562 0.1720 0.0835 Se
0.8583 0.4704 0.5833 Se
```

=====

## Dy2TmSe4 (PBE)

Data for a relaxed Dy2TmSe4 crystal.

Summary:
**Raw formation energy**: -13.042 eV/f.u.
**Calculated volume**: 26.6 A^3/atom
**DFT total energy**: -5.8080 eV/atom
**SG**: No. 74

```
Dy2TmSe4
1.0
-4.0602 4.0660 5.6409
4.0602 -4.0660 5.6409
4.0602 4.0660 -5.6409
Dy Tm Se
4 2 8
Direct
0.0000 0.0000 0.0000 Dy
0.5000 0.0000 0.0000 Dy
0.5000 0.0000 0.5000 Dy
0.5000 0.5000 0.5000 Dy
0.0000 0.5000 0.5000 Tm
0.5000 0.5000 0.0000 Tm
0.2433 0.2463 0.5031 Se
0.2433 0.7402 0.9969 Se
0.2497 0.7485 0.5012 Se
0.2527 0.2515 0.0012 Se
0.7473 0.7485 0.9988 Se
0.7503 0.2515 0.4988 Se
0.7567 0.2598 0.0031 Se
0.7567 0.7537 0.4969 Se
```

=====

## Dy6Tm2Se3 (PBE)

Data for a relaxed Dy6Tm2Se3 crystal.

Summary:
**Raw formation energy**: -9.621 eV/f.u.
**Calculated volume**: 28.2 A^3/atom
**DFT total energy**: -5.1482 eV/atom
**SG**: No. 166

```
Dy6Tm2Se3
1.0
1.8922 1.0925 25.0525
-1.8922 1.0925 25.0525
0.0000 -2.1849 25.0525
Dy Tm Se
6 2 3
Direct
0.0740 0.0740 0.0740 Dy
0.1851 0.1851 0.1851 Dy
0.3580 0.3580 0.3580 Dy
0.6420 0.6420 0.6420 Dy
0.8149 0.8149 0.8149 Dy
0.9260 0.9260 0.9260 Dy
0.4443 0.4443 0.4443 Tm
0.5557 0.5557 0.5557 Tm
0.0000 0.0000 0.0000 Se
0.2846 0.2846 0.2846 Se
0.7154 0.7154 0.7154 Se
```

=====

## DyTmSe (PBE)

Data for a relaxed DyTmSe crystal.

Summary:
**Raw formation energy**: -2.181 eV/f.u.
**Calculated volume**: 26.7 A^3/atom
**DFT total energy**: -4.9130 eV/atom
**SG**: No. 47

```
DyTmSe
1.0
3.6746 0.0000 0.0000
0.0000 4.5862 0.0000
0.0000 0.0000 4.7582
Dy Tm Se
1 1 1
Direct
0.0000 0.0000 0.0000 Dy
0.0000 0.5000 0.5000 Tm
0.5000 0.0000 0.5000 Se
```

=====

## Dy3TmSe6 (PBE)

Data for a relaxed Dy3TmSe6 crystal.

Summary:
**Raw formation energy**: -18.493 eV/f.u.
**Calculated volume**: 28.9 A^3/atom
**DFT total energy**: -5.7678 eV/atom
**SG**: No. 146

```
Dy3TmSe6
1.0
3.5885 2.0718 6.4705
-3.5885 2.0718 6.4705
0.0000 -4.1436 6.4705
Dy Tm Se
3 1 6
Direct
0.0000 0.0000 0.0000 Dy
0.1957 0.1957 0.1957 Dy
0.6965 0.6965 0.6965 Dy
0.5011 0.5011 0.5011 Tm
0.1032 0.4021 0.7883 Se
0.2929 0.9001 0.5987 Se
0.4021 0.7883 0.1032 Se
0.5987 0.2929 0.9001 Se
0.7883 0.1032 0.4021 Se
0.9001 0.5987 0.2929 Se
```

=====

## Dy2TmSe4 (PBE)

Data for a relaxed Dy2TmSe4 crystal.

Summary:
**Raw formation energy**: -12.693 eV/f.u.
**Calculated volume**: 27.7 A^3/atom
**DFT total energy**: -5.7582 eV/atom
**SG**: No. 12

```
Dy2TmSe4
1.0
14.9229 0.0000 0.0000
0.0000 4.0811 0.0000
-3.2468 0.0000 6.3645
Dy Tm Se
4 2 8
Direct
0.2332 0.0000 0.2225 Dy
0.2668 0.5000 0.7775 Dy
0.7332 0.5000 0.2225 Dy
0.7668 0.0000 0.7775 Dy
0.0000 0.5000 0.5000 Tm
0.5000 0.0000 0.5000 Tm
0.1206 0.5000 0.9392 Se
0.1329 0.0000 0.4882 Se
0.3671 0.5000 0.5118 Se
0.3794 0.0000 0.0608 Se
0.6206 0.0000 0.9392 Se
0.6329 0.5000 0.4882 Se
0.8671 0.0000 0.5118 Se
0.8794 0.5000 0.0608 Se
```

=====

## DyTmSe2 (PBE)

Data for a relaxed DyTmSe2 crystal.

Summary:
**Raw formation energy**: -5.430 eV/f.u.
**Calculated volume**: 30.6 A^3/atom
**DFT total energy**: -5.3683 eV/atom
**SG**: No. 31

```
DyTmSe2
1.0
4.2215 0.0000 0.0000
0.0000 9.1214 0.0000
0.0000 0.0000 6.3643
Dy Tm Se
2 2 4
Direct
0.0000 0.1665 0.0000 Dy
0.5000 0.8335 0.5000 Dy
0.0000 0.5829 0.1366 Tm
0.5000 0.4171 0.6366 Tm
0.0000 0.3304 0.3667 Se
0.0000 0.9007 0.2400 Se
0.5000 0.0993 0.7400 Se
0.5000 0.6696 0.8667 Se
```

=====

- Number 7 is which compound?
  Dy2TmSe4